[1]
MnSbTe2Au PBE optimized geometry; formation energy (no corrections) = 0.55 eV/atom; raw total energy = -4.02 eV/atom
1.0
5.0056 0.0000 0.0000
0.0000 5.0056 0.0000
0.0000 0.0000 4.9670
Sb Te Au Mn
1 2 1 1
Direct
0.0000 0.0000 0.5000
0.0000 0.5000 0.0000
0.5000 0.0000 0.0000
0.5000 0.5000 0.5000
0.0000 0.0000 0.0000

***

[2]
ScMnAu2 PBE optimized geometry; raw total energy = -5.70 eV/atom
1.0
-8.2053 -0.2717 0.3729
-7.3291 -1.9179 3.1853
-7.4415 1.4547 3.1699
Au Mn Sc
2 1 1
Direct
0.9979 0.9979 0.9979
0.5021 0.5021 0.5021
0.2500 0.2500 0.2500
0.7500 0.7500 0.7500

***

[3]
ScMnAu2 PBE optimized geometry; raw total energy = -5.56 eV/atom
1.0
8.9502 -0.0416 -0.0245
8.4110 3.0600 -0.0245
8.4110 1.4623 2.6880
Au Mn Sc
2 1 1
Direct
0.0015 0.0015 0.0015
0.2457 0.2457 0.2457
0.5023 0.5023 0.5023
0.7505 0.7505 0.7505

***

[4]
ScMn3Au PBE optimized geometry; raw total energy = -6.60 eV/atom
1.0
4.9013 0.0000 0.0000
0.0000 4.9013 0.0000
0.0000 0.0000 4.9013
Sc Mn Au
1 3 1
Direct
0.5000 0.5000 0.5000
0.0000 0.5000 0.0000
0.0000 0.0000 0.5000
0.5000 0.0000 0.0000
0.0000 0.0000 0.0000

***

[5]
ScMn3Au PBE optimized geometry; raw total energy = -6.15 eV/atom
1.0
-0.8363 2.1288 -3.9482
-3.4690 -2.8531 -0.8035
-2.8437 2.8544 2.1414
Sc Mn Au
1 3 1
Direct
0.0000 0.0000 0.0000
0.0000 0.5000 0.0000
0.0000 0.0000 0.5000
0.5000 0.0000 0.0000
0.5000 0.5000 0.5000

***

[6]
ScMnAu2 PBE optimized geometry; raw total energy = -5.86 eV/atom
1.0
5.0930 -0.0981 -0.0533
4.0256 3.1213 -0.0533
1.1434 0.3791 4.4383
Au Mn Sc
2 1 1
Direct
0.0005 0.0005 0.9805
0.2473 0.2473 0.2799
0.5065 0.5065 0.4659
0.7457 0.7457 0.7737